# 1
Here is a relaxed structure of GeBRh from the Alexandria database. Energies are from PBE-GGA.

Cell lengths 4.035, 4.035, 7.422 Å; angles 76.45, 76.45, 45.87 degrees
Sites, in units of the cell vectors:
B 0.974 0.974 0.547
B 0.779 0.779 0.760
Ge 0.610 0.610 0.316
Ge 0.144 0.144 0.992
Rh 0.271 0.271 0.533
Rh 0.482 0.482 0.775

Values from the calculation:
Symmetry = No. 12
Energy of formation = -5.08 kJ/mol of atoms
Spin magnetization = 0.00 μB per formula unit
E = -6.268 eV per atom
N(E_F) = 1.3 states/eV/f.u.
Volume = 13.98 A^3/atom

# 2
Here is a relaxed structure of La2CdGeO6 from the Alexandria database. Energies are from PBE-GGA.

Cell lengths 5.021, 5.471, 5.471 Å; angles 90.00, 90.00, 90.00 degrees
Sites, in units of the cell vectors:
La 0.012 0.500 0.000
La 0.012 0.000 0.500
Cd 0.551 0.500 0.500
Ge 0.601 0.000 0.000
O 0.726 0.229 0.229
O 0.726 0.229 0.771
O 0.124 0.500 0.500
O 0.243 0.000 0.000
O 0.726 0.771 0.771
O 0.726 0.771 0.229

Values from the calculation:
Symmetry = No. 99
Spin magnetization = 0.00 μB per formula unit
E = -6.888 eV per atom
Uncorrected formation energy = -2.375 eV/atom
N(E_F) = 0.0 states/eV/f.u.
Volume = 15.03 A^3/atom

# 3
Here is a relaxed structure of SrGeAs2 from the Alexandria database. Energies are from PBE-GGA.

Cell lengths 7.830, 7.830, 14.557 Å; angles 82.87, 82.87, 89.39 degrees
Sites, in units of the cell vectors:
Sr 0.661 0.759 0.874
Sr 0.241 0.339 0.626
Sr 0.339 0.241 0.126
Sr 0.759 0.661 0.374
Sr 0.184 0.846 0.606
Sr 0.154 0.816 0.894
Sr 0.816 0.154 0.394
Sr 0.846 0.184 0.106
Ge 0.418 0.299 0.840
Ge 0.701 0.582 0.660
Ge 0.582 0.701 0.160
Ge 0.299 0.418 0.340
Ge 0.706 0.088 0.654
Ge 0.912 0.294 0.846
Ge 0.294 0.912 0.346
Ge 0.088 0.706 0.154
As 0.636 0.340 0.946
As 0.660 0.364 0.554
As 0.364 0.660 0.054
As 0.340 0.636 0.446
As 0.429 0.042 0.754
As 0.958 0.571 0.746
As 0.571 0.958 0.246
As 0.042 0.429 0.254
As 0.780 0.852 0.556
As 0.148 0.220 0.944
As 0.220 0.148 0.444
As 0.852 0.780 0.056
As 0.943 0.057 0.750
As 0.057 0.943 0.250
As 0.406 0.594 0.750
As 0.594 0.406 0.250

Values from the calculation:
Symmetry = No. 15
Energy of formation = -54.00 kJ/mol of atoms
Spin magnetization = 0.00 μB per formula unit
E = -4.459 eV per atom
Volume = 27.46 A^3/atom

# 4
Here is a relaxed structure of CuRu2Rh from the Alexandria database. Energies are from PBE-GGA.

Cell lengths 2.690, 2.690, 7.539 Å; angles 90.00, 90.00, 90.00 degrees
Sites, in units of the cell vectors:
Cu 0.500 0.500 0.250
Rh 0.500 0.500 0.750
Ru 0.000 0.000 0.004
Ru 0.000 0.000 0.496

Values from the calculation:
Symmetry = No. 123
Energy of formation = 22.07 kJ/mol of atoms
Spin magnetization = 0.00 μB per formula unit
E = -7.271 eV per atom
Excess energy over the best structure of this formula in the dataset = 110.0 meV per atom
N(E_F) = 5.7 states/eV/f.u.
Volume = 13.64 A^3/atom

# 5
Here is a relaxed structure of RePt2Pb from the Alexandria database. Energies are from PBE-GGA.

Cell lengths 4.893, 4.893, 4.893 Å; angles 128.77, 128.77, 75.38 degrees
Sites, in units of the cell vectors:
Pb 0.750 0.250 0.500
Pt 0.000 0.000 0.000
Pt 0.250 0.750 0.500
Re 0.500 0.500 0.000

Values from the calculation:
Symmetry = No. 119
Energy of formation = 48.20 kJ/mol of atoms
Spin magnetization = 0.01 μB per formula unit
E = -6.560 eV per atom
N(E_F) = 5.2 states/eV/f.u.
Volume = 17.33 A^3/atom

# 6
Here is a relaxed structure of SnRhBr2 from the Alexandria database. Energies are from PBE-GGA.

Cell lengths 5.063, 5.063, 5.063 Å; angles 60.00, 60.00, 60.00 degrees
Sites, in units of the cell vectors:
Rh 0.000 0.000 0.000
Sn 0.500 0.500 0.500
Br 0.250 0.250 0.250
Br 0.750 0.750 0.750

Values from the calculation:
Symmetry = No. 225
Spin magnetization = 1.00 μB per formula unit
E = -3.398 eV per atom
Excess energy over the best structure of this formula in the dataset = 410.6 meV per atom
Uncorrected formation energy = 0.277 eV/atom
N(E_F) = 8.4 states/eV/f.u.
Volume = 22.95 A^3/atom

# 7
Here is a relaxed structure of Sr2LiTlO from the Alexandria database. Energies are from PBE-GGA.

Cell lengths 5.344, 5.344, 4.257 Å; angles 90.00, 90.00, 90.00 degrees
Sites, in units of the cell vectors:
Sr 0.000 0.500 0.000
Sr 0.500 0.000 0.000
Tl 0.500 0.500 0.500
O 0.000 0.000 0.000
Li 0.000 0.000 0.500

Values from the calculation:
Symmetry = No. 123
Spin magnetization = 0.00 μB per formula unit
E = -3.685 eV per atom
Uncorrected formation energy = -1.165 eV/atom
N(E_F) = 3.7 states/eV/f.u.
Volume = 24.31 A^3/atom

# 8
Here is a relaxed structure of Y3TmCo2 from the Alexandria database. Energies are from PBE-GGA.

Cell lengths 6.519, 6.942, 8.132 Å; angles 115.27, 113.63, 90.00 degrees
Sites, in units of the cell vectors:
Y 0.500 0.250 0.000
Y 0.500 0.750 0.000
Y 0.767 0.017 0.533
Y 0.233 0.483 0.467
Y 0.233 0.983 0.467
Y 0.767 0.517 0.533
Tm 0.000 0.500 0.000
Tm 0.000 0.000 0.000
Co 0.587 0.365 0.730
Co 0.857 0.135 0.270
Co 0.143 0.865 0.730
Co 0.413 0.635 0.270

Values from the calculation:
Symmetry = No. 72
Energy of formation = -5.52 kJ/mol of atoms
Spin magnetization = 0.00 μB per formula unit
E = -6.403 eV per atom
Excess energy over the best structure of this formula in the dataset = 104.8 meV per atom
N(E_F) = 5.3 states/eV/f.u.
Volume = 24.86 A^3/atom